Material: IrBrCl3
Method: DFT, GGA-PBE
State: relaxed

Structure (POSCAR):
```
IrBrCl3
1.0
5.734 0.000 0.000
0.000 7.470 0.002
0.000 0.005 6.318
Cl Ir Br
6 2 2
Direct
0.467 0.410 0.201
0.924 0.538 0.450
0.967 0.943 0.700
0.924 0.538 0.952
0.424 0.814 0.950
0.424 0.814 0.452
0.674 0.677 0.201
0.174 0.676 0.701
0.890 0.961 0.200
0.390 0.391 0.701
```

Fermi-level density of states: 11.91 states/eV/cell
Total DFT energy (no corrections): -3.5030 eV per atom
Crystal system: monoclinic

=====

Material: Ir2BrCl
Method: DFT, GGA-PBE
State: relaxed

Structure (POSCAR):
```
Ir2BrCl
1.0
-0.185 -0.258 -3.024
-0.544 -2.258 1.962
-9.972 2.731 0.378
Br Cl Ir
1 1 2
Direct
0.000 0.000 0.445
0.500 0.500 0.819
0.500 0.500 0.223
0.000 0.000 0.012
```

Fermi-level density of states: 4.19 states/eV/cell
Total DFT energy (no corrections): -4.7215 eV per atom
Crystal system: orthorhombic